No. 1
Entry from Alexandria: a geometry-optimized YAlCr2 structure (PBE).

Its uncorrected energy is -28.8 eV/cell. Its symmetry is P4/mmm (123).

Lattice parameters (Å, degrees): 3.3639 3.3639 6.1543 90.00 90.00 90.00
Closest atoms and distances in Å follow each position.
Fractional positions:
Y (0.0000, 0.0000, 0.0000)  2 Al 3.08, 8 Cr 3.15, 4 Y 3.36
Al (0.0000, 0.0000, 0.5000)  8 Cr 2.58
Cr (0.5000, 0.5000, 0.3360)  1 Cr 2.02
Cr (0.5000, 0.5000, 0.6640)  1 Cr 2.02

=====

No. 2
Entry from Alexandria: a geometry-optimized NaEu2Ni structure (PBE).

Its uncorrected energy is -27.5 eV/cell. Its symmetry is R-3m (166).

Lattice parameters (Å, degrees): 10.9390 10.9390 10.9390 21.00 21.00 21.00
Closest atoms and distances in Å follow each position.
Fractional positions:
Na (0.0000, 0.0000, 0.0000)  2 Eu 3.72, 6 Na 3.99
Eu (0.1161, 0.1161, 0.1161)  3 Ni 2.82
Eu (0.8839, 0.8839, 0.8839)  3 Ni 2.82
Ni (0.5000, 0.5000, 0.5000)  6 Eu 2.82

=====

No. 3
Entry from Alexandria: a geometry-optimized DyCo3 structure (PBE).

As for the excess energy over the best structure of this formula in the dataset: 0.000 eV/atom. Its uncorrected energy is -79.9 eV/cell. Its symmetry is R-3m (166).

Lattice parameters (Å, degrees): 8.6316 8.6316 8.6316 33.44 33.44 33.44
Closest atoms and distances in Å follow each position.
Fractional positions:
Dy (0.0000, 0.0000, 0.0000)  18 Co 2.87-3.18
Dy (0.1397, 0.1397, 0.1397)  12 Co 2.87-3.10, 3 Dy 3.16
Dy (0.8603, 0.8603, 0.8603)  12 Co 2.87-3.10, 3 Dy 3.16
Co (0.0786, 0.5824, 0.5824)  7 Co 2.42-2.54
Co (0.3348, 0.3348, 0.3348)  6 Co 2.42-2.47
Co (0.4176, 0.4176, 0.9214)  7 Co 2.42-2.54
Co (0.4176, 0.9214, 0.4176)  7 Co 2.42-2.54
Co (0.5000, 0.5000, 0.5000)  6 Co 2.54
Co (0.5824, 0.0786, 0.5824)  7 Co 2.42-2.54
Co (0.5824, 0.5824, 0.0786)  7 Co 2.42-2.54
Co (0.6652, 0.6652, 0.6652)  6 Co 2.42-2.47
Co (0.9214, 0.4176, 0.4176)  7 Co 2.42-2.54

=====

No. 4
Entry from Alexandria: a geometry-optimized TiZn2 structure (PBE).

Its uncorrected energy is -44.0 eV/cell. Its symmetry is P6_3/mmc (194).

Lattice parameters (Å, degrees): 5.0786 5.0786 8.1454 90.00 90.00 120.00
Closest atoms and distances in Å follow each position.
Fractional positions:
Ti (0.3333, 0.6667, 0.0674)  12 Zn 2.94-2.98, 4 Ti 2.98-3.13
Ti (0.3333, 0.6667, 0.4326)  12 Zn 2.94-2.98, 4 Ti 2.98-3.13
Ti (0.6667, 0.3333, 0.5674)  12 Zn 2.94-2.98, 4 Ti 2.98-3.13
Ti (0.6667, 0.3333, 0.9326)  12 Zn 2.94-2.98, 4 Ti 2.98-3.13
Zn (0.0000, 0.0000, 0.0000)  6 Zn 2.54
Zn (0.0000, 0.0000, 0.5000)  6 Zn 2.54
Zn (0.1719, 0.3437, 0.7500)  6 Zn 2.46-2.62
Zn (0.1719, 0.8281, 0.7500)  6 Zn 2.46-2.62
Zn (0.3437, 0.1719, 0.2500)  6 Zn 2.46-2.62
Zn (0.6563, 0.8281, 0.7500)  6 Zn 2.46-2.62
Zn (0.8281, 0.1719, 0.2500)  6 Zn 2.46-2.62
Zn (0.8281, 0.6563, 0.2500)  6 Zn 2.46-2.62

=====

no.,ΔH_f (0 K) (kJ per mole of atoms)
1,16
2,4
3,-18
4,-18